1.
{"formula": "Nd2Sm2Hg7", "functional": "PBE", "state": "optimized geometry", "lattice_angstrom": [[6.948, -0.003, -0.502], [0.003, 7.354, 0.003], [-0.934, -0.003, 6.904]], "species": ["Nd", "Nd", "Sm", "Sm", "Hg", "Hg", "Hg", "Hg", "Hg", "Hg", "Hg"], "frac_coords": [[0.704, 0.000, 0.296], [0.296, 0.000, 0.704], [0.803, 0.500, 0.803], [0.197, 0.500, 0.197], [0.000, 0.293, 0.500], [0.500, 0.707, 0.000], [0.000, 0.707, 0.500], [0.500, 0.293, 0.000], [0.000, 0.000, 0.000], [0.500, 0.708, 0.500], [0.500, 0.292, 0.500]], "delta_e_f_mev_per_atom": -110, "crystal_system": "orthorhombic", "mass_density_g_cm3": 9.48}


2.
{"formula": "Rb2TbTcO6", "functional": "PBE", "state": "optimized geometry", "lattice_angstrom": [[-1.669, 4.679, 2.977], [-3.577, -3.729, 3.855], [6.146, 1.234, 1.506]], "species": ["Rb", "Rb", "Tb", "Tc", "O", "O", "O", "O", "O", "O"], "frac_coords": [[0.119, 0.333, 0.667], [0.881, 0.667, 0.333], [0.500, 0.000, 0.000], [0.000, 0.000, 0.000], [0.797, 0.136, 0.271], [0.797, 0.136, 0.864], [0.797, 0.729, 0.864], [0.203, 0.864, 0.136], [0.203, 0.271, 0.136], [0.203, 0.864, 0.729]], "crystal_system": "trigonal", "raw_formation_energy_ev_per_atom": -1.867, "mass_density_g_cm3": 4.17}


3.
{"formula": "La6PmDy12", "functional": "PBE", "state": "optimized geometry", "lattice_angstrom": [[8.743, -0.162, -1.207], [-1.364, 8.637, -1.207], [-0.141, -0.162, 8.825]], "species": ["La", "La", "La", "La", "La", "La", "Pm", "Dy", "Dy", "Dy", "Dy", "Dy", "Dy", "Dy", "Dy", "Dy", "Dy", "Dy", "Dy"], "frac_coords": [[0.904, 0.346, 0.904], [0.904, 0.904, 0.346], [0.346, 0.904, 0.904], [0.096, 0.096, 0.654], [0.096, 0.654, 0.096], [0.654, 0.096, 0.096], [0.000, 0.000, 0.000], [0.754, 0.246, 0.500], [0.356, 0.080, 0.356], [0.356, 0.356, 0.080], [0.920, 0.644, 0.644], [0.644, 0.644, 0.920], [0.644, 0.920, 0.644], [0.500, 0.754, 0.246], [0.246, 0.500, 0.754], [0.246, 0.754, 0.500], [0.500, 0.246, 0.754], [0.754, 0.500, 0.246], [0.080, 0.356, 0.356]], "delta_e_f_mev_per_atom": 215, "crystal_system": "trigonal", "mass_density_g_cm3": 7.36}


4.
{"formula": "GaCu5Au", "functional": "PBE", "state": "optimized geometry", "lattice_angstrom": [[4.573, -0.135, 0.000], [-1.616, 4.280, 0.000], [0.000, 0.000, 5.243]], "species": ["Ga", "Cu", "Cu", "Cu", "Cu", "Cu", "Au"], "frac_coords": [[0.500, 0.500, 0.500], [0.500, 0.000, 0.254], [0.000, 0.500, 0.254], [0.000, 0.000, 0.500], [0.000, 0.500, 0.746], [0.500, 0.000, 0.746], [0.000, 0.000, 0.000]], "delta_e_f_mev_per_atom": 16, "crystal_system": "orthorhombic", "polymorph_energy_kj_per_mol_atoms": 0.0, "mass_density_g_cm3": 9.56}


5.
{"formula": "FeHg2I8", "functional": "PBE", "state": "optimized geometry", "lattice_angstrom": [[-0.066, 5.998, 3.515], [-2.592, -6.173, 3.610], [12.052, -0.267, 0.682]], "species": ["I", "I", "I", "I", "I", "I", "I", "I", "Fe", "Hg", "Hg"], "frac_coords": [[0.112, 0.729, 0.888], [0.383, 0.271, 0.112], [0.172, 0.344, 0.535], [0.828, 0.656, 0.465], [0.617, 0.729, 0.888], [0.888, 0.271, 0.112], [0.452, 0.905, 0.314], [0.548, 0.095, 0.686], [0.000, 0.000, 0.000], [0.347, 0.693, 0.472], [0.653, 0.307, 0.528]], "crystal_system": "monoclinic", "raw_formation_energy_ev_per_atom": -0.106, "mass_density_g_cm3": 4.56}


6.
{"formula": "Pa2CoSn", "functional": "PBE", "state": "optimized geometry", "lattice_angstrom": [[-1.240, -1.859, 3.046], [2.467, -1.364, 2.514], [0.080, 5.654, 5.826]], "species": ["Pa", "Pa", "Co", "Sn"], "frac_coords": [[0.769, 0.769, 0.692], [0.231, 0.231, 0.308], [0.500, 0.500, 0.500], [0.000, 0.000, 0.000]], "delta_e_f_mev_per_atom": -147, "crystal_system": "trigonal", "polymorph_energy_kj_per_mol_atoms": 10.6, "mass_density_g_cm3": 10.99}


7.
{"formula": "ScSe2Cl", "functional": "PBE", "state": "optimized geometry", "lattice_angstrom": [[-0.998, 3.389, 3.140], [0.871, -3.017, 3.533], [9.055, 2.848, 3.361]], "species": ["Sc", "Sc", "Se", "Se", "Se", "Se", "Cl", "Cl"], "frac_coords": [[0.000, 0.000, 0.000], [0.750, 0.250, 0.500], [0.780, 0.125, 0.250], [0.970, 0.625, 0.250], [0.375, 0.220, 0.750], [0.875, 0.030, 0.750], [0.500, 0.500, 0.000], [0.250, 0.750, 0.500]], "crystal_system": "tetragonal", "polymorph_energy_kj_per_mol_atoms": 47.7, "raw_formation_energy_ev_per_atom": -0.798, "mass_density_g_cm3": 3.73}


8.
{"formula": "ZrTe2ICl", "functional": "PBE", "state": "optimized geometry", "lattice_angstrom": [[-0.936, -4.943, -2.466], [4.947, -1.863, 1.857], [-2.488, -1.890, 4.733]], "species": ["I", "Te", "Te", "Zr", "Cl"], "frac_coords": [[0.000, 0.000, 0.500], [0.000, 0.500, 0.000], [0.500, 0.000, 0.000], [0.000, 0.000, 0.000], [0.500, 0.500, 0.500]], "crystal_system": "tetragonal", "polymorph_energy_kj_per_mol_atoms": 0.0, "raw_formation_energy_ev_per_atom": -0.240, "mass_density_g_cm3": 4.75}


Computed size of the total moment, in the same sequence as the records: 0.0 0.0 0.0 0.0 3.7 0.0 0.0 0.8 Bohr magnetons per cell.